1.
# CoPb2Au | Alexandria | PBE | optimized geometry
# density of states at the Fermi level = 2.68 states/eV/f.u.
# DFT formation energy = 258 meV per atom
# energy above the lowest structure with this stoichiometry = 40 meV/atom
# energy = -4.192 eV/atom
data_CoPb2Au
_chemical_formula_sum 'Co2 Pb4 Au2'
_symmetry_space_group_name_H-M 'C 1 m 1'
_symmetry_Int_Tables_number 8
_symmetry_space_group_name_Hall 'C -2y'
_cell_length_a 13.407
_cell_length_b 3.176
_cell_length_c 4.391
_cell_angle_alpha 90.00
_cell_angle_beta 109.04
_cell_angle_gamma 90.00
loop_
_atom_site_label
_atom_site_fract_x
_atom_site_fract_y
_atom_site_fract_z
Co1 0.000 0.000 0.000
Pb1 0.008 0.500 0.508
Pb2 0.301 0.000 0.800
Au1 0.176 0.500 0.176


2.
# KBeNb2 | Alexandria | PBE | optimized geometry
# density of states at the Fermi level = 4.97 states/eV/f.u.
# DFT formation energy = 1549 meV per atom
# energy = -4.691 eV/atom
data_KBeNb2
_chemical_formula_sum 'K4 Be4 Nb8'
_symmetry_space_group_name_H-M 'I 41/a m d'
_symmetry_Int_Tables_number 141
_cell_length_a 4.858
_cell_length_b 4.858
_cell_length_c 18.664
_cell_angle_alpha 90.00
_cell_angle_beta 90.00
_cell_angle_gamma 90.00
loop_
_symmetry_equiv_pos_as_xyz
'x,y,z'
'-x,-y,-z'
'-y+1/4,x+3/4,z+1/4'
'y+1/4,-x+3/4,-z+1/4'
'-x+1/2,-y,z+1/2'
'x+1/2,y,-z+1/2'
'y+1/4,-x+1/4,z+3/4'
'-y+1/4,x+1/4,-z+3/4'
'x,-y,-z'
'-x,y,z'
'-y+1/4,-x+1/4,-z+3/4'
'y+1/4,x+1/4,z+3/4'
'-x+1/2,y,-z+1/2'
'x+1/2,-y,z+1/2'
'y+1/4,x+3/4,-z+1/4'
'-y+1/4,-x+3/4,z+1/4'
'x+1/2,y+1/2,z+1/2'
'-x+1/2,-y+1/2,-z+1/2'
'-y+3/4,x+1/4,z+3/4'
'y+3/4,-x+1/4,-z+3/4'
'-x,-y+1/2,z'
'x,y+1/2,-z'
'y+3/4,-x+3/4,z+1/4'
'-y+3/4,x+3/4,-z+1/4'
'x+1/2,-y+1/2,-z+1/2'
'-x+1/2,y+1/2,z+1/2'
'-y+3/4,-x+3/4,-z+1/4'
'y+3/4,x+3/4,z+1/4'
'-x,y+1/2,-z'
'x,-y+1/2,z'
'y+3/4,x+1/4,-z+3/4'
'-y+3/4,-x+1/4,z+3/4'
loop_
_atom_site_label
_atom_site_fract_x
_atom_site_fract_y
_atom_site_fract_z
K1 0.000 0.250 0.375
Be1 0.000 0.250 0.875
Nb1 0.000 0.000 0.000


3.
# NaTlPb2 | Alexandria | PBE | optimized geometry
# density of states at the Fermi level = 2.02 states/eV/f.u.
# DFT formation energy = -95 meV per atom
# energy = -2.871 eV/atom
data_NaTlPb2
_chemical_formula_sum 'Na1 Tl1 Pb2'
_symmetry_space_group_name_H-M 'P 4/m m m'
_symmetry_Int_Tables_number 123
_symmetry_space_group_name_Hall '-P 4 2'
_cell_length_a 4.868
_cell_length_b 4.868
_cell_length_c 4.966
_cell_angle_alpha 90.00
_cell_angle_beta 90.00
_cell_angle_gamma 90.00
loop_
_atom_site_label
_atom_site_fract_x
_atom_site_fract_y
_atom_site_fract_z
Na1 0.000 0.000 0.000
Tl1 0.500 0.500 0.000
Pb1 0.000 0.500 0.500


4.
# Rb2Ba2P | Alexandria | PBE | optimized geometry
# density of states at the Fermi level = 3.77 states/eV/f.u.
# DFT formation energy = -184 meV per atom
# energy = -2.422 eV/atom
data_Rb2Ba2P
_chemical_formula_sum 'Rb4 Ba4 P2'
_symmetry_space_group_name_H-M 'P 4/m b m'
_symmetry_Int_Tables_number 127
_symmetry_space_group_name_Hall '-P 4 2ab'
_cell_length_a 8.699
_cell_length_b 8.699
_cell_length_c 8.137
_cell_angle_alpha 90.00
_cell_angle_beta 90.00
_cell_angle_gamma 90.00
loop_
_atom_site_label
_atom_site_fract_x
_atom_site_fract_y
_atom_site_fract_z
Rb1 0.178 0.322 0.000
Ba1 0.188 0.688 0.500
P1 0.000 0.000 0.500